## Ti3Mo4W2 (GGA-PBE)

Data for a geometry-optimized Ti3Mo4W2 structure.

The structure in POSCAR format:
```
Ti3Mo4W2
1.0
4.4944 0.0000 0.0000
-2.2472 3.8774 -0.3408
0.0000 0.7173 8.1581
Ti Mo W
3 4 2
direct
0.3333 0.6667 0.5639
0.0000 0.0000 0.0000
0.6667 0.3333 0.4361
0.6666 0.3333 0.1110
0.0000 0.0001 0.6604
0.0000 0.9999 0.3396
0.3334 0.6667 0.8890
0.3333 0.6666 0.2191
0.6667 0.3334 0.7809
```

Output
Its density of states at the Fermi level is 11.70 states/eV/f.u. The symmetry is P-3m1, No. 164. The density is 10.4 g/cm³. The calculation puts the formation energy at -133 meV/atom. The uncorrected energy comes out at -10.46 eV per atom. As for the crystal system: trigonal.